# HfTcPbO6 (PBE, optimized geometry)
# E_form (uncorrected) (kJ per mole of atoms): -178.1
# Density (g cm⁻³): 6.5
# Crystal system: orthorhombic
# Space-group type: Imma
data_HfTcPbO6
_symmetry_space_group_name_H-M 'P 1'
_symmetry_Int_Tables_number 1
_symmetry_space_group_name_Hall 'P 1'
_cell_length_a 7.540
_cell_length_b 7.540
_cell_length_c 7.540
_cell_angle_alpha 122.33
_cell_angle_beta 120.65
_cell_angle_gamma 87.45
loop_
_atom_site_label
_atom_site_type_symbol
_atom_site_fract_x
_atom_site_fract_y
_atom_site_fract_z
_atom_site_occupancy
Hf1 Hf 0.000 0.000 0.000 1
Hf2 Hf 0.500 0.000 0.500 1
Tc1 Tc 0.500 0.000 0.000 1
Tc2 Tc 0.500 0.500 0.500 1
Pb1 Pb 0.027 0.277 0.750 1
Pb2 Pb 0.973 0.723 0.250 1
O1 O 0.176 0.926 0.250 1
O2 O 0.199 0.327 0.257 1
O3 O 0.199 0.941 0.871 1
O4 O 0.430 0.059 0.757 1
O5 O 0.430 0.673 0.371 1
O6 O 0.451 0.701 0.750 1
O7 O 0.549 0.299 0.250 1
O8 O 0.570 0.327 0.629 1
O9 O 0.570 0.941 0.243 1
O10 O 0.801 0.059 0.129 1
O11 O 0.801 0.673 0.743 1
O12 O 0.824 0.074 0.750 1